(1)
# Li2LaTb

Li2LaTb after structural relaxation (GGA-PBE, the Alexandria database).

Lattice parameters (Å, degrees): 7.623 7.623 7.623 90.00 90.00 90.00
Positions (direct):
1 Li 0.250 0.250 0.250
2 Li 0.250 0.250 0.750
3 Li 0.250 0.750 0.250
4 Li 0.250 0.750 0.750
5 Li 0.750 0.250 0.250
6 Li 0.750 0.250 0.750
7 Li 0.750 0.750 0.250
8 Li 0.750 0.750 0.750
9 La 0.000 0.000 0.000
10 La 0.000 0.500 0.500
11 La 0.500 0.000 0.500
12 La 0.500 0.500 0.000
13 Tb 0.000 0.000 0.500
14 Tb 0.000 0.500 0.000
15 Tb 0.500 0.000 0.000
16 Tb 0.500 0.500 0.500

Results
SG: Fm-3m
Offset from the most stable computed form: 6 meV/atom

(2)
# VRe

VRe after structural relaxation (GGA-PBE, the Alexandria database).

Lattice parameters (Å, degrees): 2.856 4.325 4.926 90.00 90.00 90.00
Positions (direct):
1 V 0.000 0.000 0.000
2 V 0.500 0.500 0.500
3 Re 0.000 0.000 0.500
4 Re 0.500 0.500 0.000

Results
SG: Immm

| no. | density (g/cm³) | E (eV per formula unit) | formation enthalpy at 0 K (eV/atom) |
| --- | --- | --- | --- |
| 1 | 4.67 | -12.75 | 0.158 |
| 2 | 12.94 | -20.37 | 0.596 |